Material: Hf5Co2Au2
Method: DFT, PBE
State: relaxed

The structure in POSCAR format:
```
Hf5Co2Au2
1.0
-2.7075 6.0171 0.9703
-6.1244 -2.7992 0.2693
-0.6274 2.1353 7.9270
Hf Co Au
10 4 4
direct
0.0000 0.0000 0.0000 Hf
0.5000 0.5000 0.0000 Hf
0.4484 0.1732 0.7534 Hf
0.7983 0.8268 0.7534 Hf
0.2983 0.6732 0.7534 Hf
0.9484 0.3268 0.7534 Hf
0.5516 0.8268 0.2466 Hf
0.2017 0.1732 0.2466 Hf
0.7017 0.3268 0.2466 Hf
0.0516 0.6732 0.2466 Hf
0.1325 0.3648 0.0000 Co
0.8675 0.6352 0.0000 Co
0.3675 0.8648 0.0000 Co
0.6325 0.1352 0.0000 Co
0.2182 0.0000 0.5636 Au
0.7182 0.5000 0.5636 Au
0.7818 0.0000 0.4364 Au
0.2818 0.5000 0.4364 Au
```

Computed properties:
VASP energy (eV for the cell shown): -148.233
E_form (meV/atom): -398

***

Material: CaTlF2
Method: DFT, PBE
State: relaxed

The structure in POSCAR format:
```
CaTlF2
1.0
0.0000 3.3292 3.3292
3.3292 0.0000 3.3292
3.3292 3.3292 0.0000
Tl Ca F
1 1 2
direct
0.5000 0.5000 0.5000 Tl
0.0000 0.0000 0.0000 Ca
0.2500 0.2500 0.2500 F
0.7500 0.7500 0.7500 F
```

Computed properties:
Formation energy without anion corrections (eV per atom): -1.957
VASP energy (eV for the cell shown): -15.937

***

Material: CsB3Sb
Method: DFT, PBE
State: relaxed

The structure in POSCAR format:
```
CsB3Sb
1.0
4.9131 0.0000 0.0000
0.0000 4.9131 0.0000
0.0000 0.0000 4.9131
Cs Sb B
1 1 3
direct
0.0000 0.0000 0.0000 Cs
0.5000 0.5000 0.5000 Sb
0.0000 0.5000 0.0000 B
0.0000 0.0000 0.5000 B
0.5000 0.0000 0.0000 B
```

Computed properties:
Formation energy without anion corrections (eV per atom): 3.141
VASP energy (eV for the cell shown): -9.304